Entry 1:
Tb2Si | PBE | optimized geometry

Cell lengths 6.0455, 6.0455, 6.0455 Å; angles 60.00, 60.00, 60.00 degrees
With the nearest neighbours (Å) after each atom.
Fractional coordinates of all 6 atoms:
Tb (0.6250, 0.6250, 0.6250)  6 Tb 3.02
Tb (0.6250, 0.1250, 0.6250)  6 Tb 3.02
Si (0.2500, 0.2500, 0.2500)  12 Tb 3.54, 4 Si 3.70
Tb (0.1250, 0.6250, 0.6250)  6 Tb 3.02
Tb (0.6250, 0.6250, 0.1250)  6 Tb 3.02
Si (0.0000, 0.0000, 0.0000)  12 Tb 3.54, 4 Si 3.70

Computed properties:
uncorrected energy = -26.472 eV per cell
magnetic moment = 0.01 μB/f.u.

=====

Entry 2:
Tb2SmAg4Sn4 | PBE | optimized geometry

Cell lengths 8.8099, 8.8099, 8.8099 Å; angles 149.95, 130.40, 59.09 degrees
With the nearest neighbours (Å) after each atom.
Fractional coordinates of all 11 atoms:
Tb (0.6278, 0.1278, 0.5000)  6 Ag 3.27-3.42, 6 Sn 3.30-3.33
Sn (0.7832, 0.7832, 0.0000)  6 Ag 2.80-2.83
Tb (0.3722, 0.8722, 0.5000)  6 Ag 3.27-3.42, 6 Sn 3.30-3.33
Sn (0.2168, 0.2168, 0.0000)  6 Ag 2.80-2.83
Ag (0.9736, 0.6706, 0.3031)  4 Sn 2.74-2.83, 1 Ag 2.91
Sn (0.3064, 0.5000, 0.8064)  2 Ag 2.74, 1 Sn 2.86
Sm (0.0000, 0.0000, 0.0000)  6 Sn 3.22-3.32
Ag (0.0264, 0.3294, 0.6969)  4 Sn 2.74-2.83, 1 Ag 2.91
Ag (0.3675, 0.6706, 0.6969)  4 Sn 2.74-2.83, 1 Ag 2.91
Ag (0.6325, 0.3294, 0.3031)  4 Sn 2.74-2.83, 1 Ag 2.91
Sn (0.6936, 0.5000, 0.1936)  2 Ag 2.74, 1 Sn 2.86

Computed properties:
uncorrected energy = -46.973 eV per cell
magnetic moment = 0.02 μB/f.u.

=====

Entry 3:
Tb2HoTlCd3Ga2 | PBE | optimized geometry

Cell lengths 4.5195, 7.3474, 7.3474 Å; angles 119.88, 90.00, 90.00 degrees
With the nearest neighbours (Å) after each atom.
Fractional coordinates of all 9 atoms:
Tb (0.0000, 0.4333, 0.0004)  4 Ga 3.14, 1 Tl 3.19, 2 Cd 3.19
Ho (0.0000, 0.5667, 0.5667)  4 Ga 3.13, 1 Tl 3.18, 2 Cd 3.19
Cd (0.5000, 0.0002, 0.7396)  2 Ga 2.76, 2 Tl 2.96
Ga (0.5000, 0.6663, 0.3343)  3 Cd 2.75-2.76
Ga (0.5000, 0.3343, 0.6663)  3 Cd 2.75-2.76
Cd (0.5000, 0.2605, 0.2605)  2 Ga 2.75, 2 Tl 2.97
Tl (0.0000, 0.9986, 0.9986)  6 Cd 2.96-2.97, 1 Ho 3.18, 2 Tb 3.19
Tb (0.0000, 0.0004, 0.4333)  4 Ga 3.14, 1 Tl 3.19, 2 Cd 3.19
Cd (0.5000, 0.7396, 0.0002)  2 Ga 2.76, 2 Tl 2.96

Computed properties:
uncorrected energy = -28.994 eV per cell
magnetic moment = 0.01 μB/f.u.

=====

Entry 4:
Tm2H2ICl3 | PBE | optimized geometry

Cell lengths 3.7453, 3.7453, 14.4913 Å; angles 90.00, 90.00, 120.00 degrees
With the nearest neighbours (Å) after each atom.
Fractional coordinates of all 8 atoms:
H (0.6667, 0.3333, 0.7450)  3 Tm 2.16
H (0.0000, 0.0000, 0.2510)  3 Tm 2.16
Tm (0.3333, 0.6667, 0.2515)  3 H 2.16
Tm (0.3333, 0.6667, 0.7394)  3 H 2.16
Cl (0.6667, 0.3333, 0.1326)  3 H 2.76, 3 Tm 2.76
Cl (0.6667, 0.3333, 0.3701)  3 Tm 2.76, 3 H 2.77
Cl (0.0000, 0.0000, 0.6217)  3 Tm 2.75, 3 H 2.80
I (0.0000, 0.0000, 0.8888)  3 H 3.00, 3 Tm 3.06

Computed properties:
uncorrected energy = -35.502 eV per cell
magnetic moment = 0.00 μB/f.u.